(1)
First-principles (PBE) data for a geometry-optimized Na3LiTa structure, as listed in the Alexandria database.

```
Na3LiTa
1.0
5.161 0.000 0.000
0.000 5.161 0.000
0.000 0.000 5.161
Na Li Ta
3 1 1
Direct
0.000 0.000 0.500 Na
0.000 0.500 0.000 Na
0.500 0.000 0.000 Na
0.000 0.000 0.000 Li
0.500 0.500 0.500 Ta
```

Formation enthalpy at 0 K in eV per atom: 1.298
Crystal system: cubic
Energy relative to the lowest polymorph listed for this composition in eV/atom: 0.000

(2)
First-principles (PBE) data for a geometry-optimized Na2Tl4Cd3 structure, as listed in the Alexandria database.

```
Na2Tl4Cd3
1.0
3.214 -8.259 0.000
3.214 8.259 0.000
0.000 0.000 9.938
Na Tl Cd
4 8 6
Direct
0.108 0.892 0.935 Na
0.392 0.608 0.435 Na
0.608 0.392 0.565 Na
0.892 0.108 0.065 Na
0.185 0.815 0.515 Tl
0.204 0.296 0.750 Tl
0.296 0.204 0.250 Tl
0.315 0.685 0.015 Tl
0.685 0.315 0.985 Tl
0.704 0.796 0.750 Tl
0.796 0.704 0.250 Tl
0.815 0.185 0.485 Tl
0.000 0.000 0.500 Cd
0.017 0.483 0.750 Cd
0.483 0.017 0.250 Cd
0.500 0.500 0.000 Cd
0.517 0.983 0.750 Cd
0.983 0.517 0.250 Cd
```

Formation enthalpy at 0 K in eV per atom: -0.030
Crystal system: orthorhombic
Energy relative to the lowest polymorph listed for this composition in eV/atom: 0.026

(3)
First-principles (PBE) data for a geometry-optimized SrCo2Ir structure, as listed in the Alexandria database.

```
SrCo2Ir
1.0
3.187 0.000 0.000
0.000 3.187 0.000
0.000 0.000 6.933
Sr Co Ir
1 2 1
Direct
0.000 0.000 0.000 Sr
0.500 0.500 0.327 Co
0.500 0.500 0.673 Co
0.000 0.000 0.500 Ir
```

Formation enthalpy at 0 K in eV per atom: 0.429
Crystal system: tetragonal

(4)
First-principles (PBE) data for a geometry-optimized Ba3Tl9Pd2 structure, as listed in the Alexandria database.

```
Ba3Tl9Pd2
1.0
-2.488 5.962 7.277
2.488 -5.962 7.277
2.488 5.962 -7.277
Ba Tl Pd
3 9 2
Direct
0.000 0.000 0.000 Ba
0.323 0.323 0.000 Ba
0.677 0.677 0.000 Ba
0.033 0.670 0.363 Tl
0.164 0.884 0.280 Tl
0.306 0.670 0.637 Tl
0.396 0.116 0.280 Tl
0.500 0.000 0.500 Tl
0.604 0.884 0.720 Tl
0.694 0.330 0.363 Tl
0.836 0.116 0.720 Tl
0.967 0.330 0.637 Tl
0.263 0.500 0.763 Pd
0.737 0.500 0.237 Pd
```

Formation enthalpy at 0 K in eV per atom: -0.285
Crystal system: orthorhombic

(5)
First-principles (PBE) data for a geometry-optimized KNbO3 structure, as listed in the Alexandria database.

```
KNbO3
1.0
2.772 1.601 5.982
-2.772 1.601 5.982
0.000 -3.201 5.982
K Nb O
2 2 6
Direct
0.138 0.138 0.138 K
0.862 0.862 0.862 K
0.346 0.346 0.346 Nb
0.654 0.654 0.654 Nb
0.059 0.644 0.495 O
0.356 0.505 0.941 O
0.495 0.059 0.644 O
0.505 0.941 0.356 O
0.644 0.495 0.059 O
0.941 0.356 0.505 O
```

VASP energy in eV per atom: -7.653
Crystal system: trigonal

(6)
First-principles (PBE) data for a geometry-optimized Li2AlGaO4 structure, as listed in the Alexandria database.

```
Li2AlGaO4
1.0
6.139 0.000 0.000
0.000 5.559 0.000
0.000 0.000 5.023
Li Al Ga O
4 2 2 8
Direct
0.250 0.165 0.000 Li
0.250 0.835 0.500 Li
0.750 0.165 0.000 Li
0.750 0.835 0.500 Li
0.000 0.335 0.506 Al
0.500 0.665 0.006 Al
0.000 0.662 0.005 Ga
0.500 0.338 0.505 Ga
0.000 0.351 0.860 O
0.000 0.635 0.378 O
0.242 0.181 0.402 O
0.258 0.819 0.902 O
0.500 0.365 0.878 O
0.500 0.649 0.360 O
0.742 0.819 0.902 O
0.758 0.181 0.402 O
```

VASP energy in eV per atom: -6.169
Crystal system: orthorhombic

(7)
First-principles (PBE) data for a geometry-optimized TbCe4Bi6 structure, as listed in the Alexandria database.

```
TbCe4Bi6
1.0
6.280 3.626 5.307
-6.280 3.626 5.307
0.000 -7.251 5.307
Tb Ce Bi
2 8 12
Direct
0.000 0.000 0.000 Tb
0.500 0.500 0.500 Tb
0.139 0.750 0.361 Ce
0.250 0.250 0.250 Ce
0.250 0.639 0.861 Ce
0.361 0.139 0.750 Ce
0.639 0.861 0.250 Ce
0.750 0.361 0.139 Ce
0.750 0.750 0.750 Ce
0.861 0.250 0.639 Ce
0.066 0.921 0.672 Bi
0.079 0.328 0.934 Bi
0.172 0.421 0.566 Bi
0.328 0.934 0.079 Bi
0.421 0.566 0.172 Bi
0.434 0.828 0.579 Bi
0.566 0.172 0.421 Bi
0.579 0.434 0.828 Bi
0.672 0.066 0.921 Bi
0.828 0.579 0.434 Bi
0.921 0.672 0.066 Bi
0.934 0.079 0.328 Bi
```

Formation enthalpy at 0 K in eV per atom: -0.658
Crystal system: trigonal

(8)
First-principles (PBE) data for a geometry-optimized CrTeAu2 structure, as listed in the Alexandria database.

```
CrTeAu2
1.0
3.574 0.000 0.000
0.000 4.318 0.000
0.000 0.000 11.057
Cr Te Au
2 2 4
Direct
0.000 0.000 0.000 Cr
0.500 0.500 0.500 Cr
0.000 0.500 0.683 Te
0.500 0.000 0.183 Te
0.000 0.000 0.483 Au
0.000 0.500 0.312 Au
0.500 0.000 0.812 Au
0.500 0.500 0.983 Au
```

VASP energy in eV per atom: -4.635
Crystal system: orthorhombic

(9)
First-principles (PBE) data for a geometry-optimized LaAlCd2 structure, as listed in the Alexandria database.

```
LaAlCd2
1.0
4.719 0.000 0.000
0.000 4.719 0.000
0.000 0.000 20.245
La Al Cd
4 4 8
Direct
0.000 0.000 0.000 La
0.000 0.500 0.250 La
0.500 0.000 0.750 La
0.500 0.500 0.500 La
0.000 0.000 0.500 Al
0.000 0.500 0.750 Al
0.500 0.000 0.250 Al
0.500 0.500 0.000 Al
0.170 0.250 0.625 Cd
0.250 0.670 0.875 Cd
0.250 0.830 0.375 Cd
0.330 0.250 0.125 Cd
0.670 0.750 0.125 Cd
0.750 0.170 0.375 Cd
0.750 0.330 0.875 Cd
0.830 0.750 0.625 Cd
```

Formation enthalpy at 0 K in eV per atom: -0.021
Crystal system: tetragonal

(10)
First-principles (PBE) data for a geometry-optimized CrC3Br structure, as listed in the Alexandria database.

```
CrC3Br
1.0
3.966 0.000 0.000
0.000 3.966 0.000
0.000 0.000 3.966
Cr C Br
1 3 1
Direct
0.000 0.000 0.000 Cr
0.000 0.000 0.500 C
0.000 0.500 0.000 C
0.500 0.000 0.000 C
0.500 0.500 0.500 Br
```

Crystal system: cubic
Energy relative to the lowest polymorph listed for this composition in eV/atom: 0.000

(11)
First-principles (PBE) data for a geometry-optimized ZrTlAg4 structure, as listed in the Alexandria database.

```
ZrTlAg4
1.0
0.000 3.925 3.925
3.925 0.000 3.925
3.925 3.925 0.000
Zr Tl Ag
1 1 4
Direct
0.000 0.000 0.000 Zr
0.250 0.250 0.250 Tl
0.123 0.626 0.626 Ag
0.626 0.123 0.626 Ag
0.626 0.626 0.123 Ag
0.626 0.626 0.626 Ag
```

Formation enthalpy at 0 K in eV per atom: 0.160
Crystal system: cubic

(12)
First-principles (PBE) data for a geometry-optimized K2As2PdO6 structure, as listed in the Alexandria database.

```
K2As2PdO6
1.0
6.134 -2.759 0.000
6.134 2.759 0.000
-2.254 0.000 5.801
K As Pd O
2 2 1 6
Direct
0.218 0.218 0.208 K
0.782 0.782 0.792 K
0.482 0.482 0.791 As
0.518 0.518 0.209 As
0.000 0.000 0.500 Pd
0.187 0.690 0.240 O
0.310 0.813 0.760 O
0.335 0.335 0.654 O
0.665 0.665 0.346 O
0.690 0.187 0.240 O
0.813 0.310 0.760 O
```

VASP energy in eV per atom: -5.470
Crystal system: monoclinic

(13)
First-principles (PBE) data for a geometry-optimized LiYSn structure, as listed in the Alexandria database.

```
LiYSn
1.0
4.690 0.000 0.000
0.000 4.539 0.000
-1.461 0.000 6.935
Li Y Sn
2 2 2
Direct
0.000 0.000 0.000 Li
0.283 0.000 0.684 Li
0.508 0.500 0.993 Y
0.651 0.000 0.380 Y
0.109 0.500 0.309 Sn
0.905 0.500 0.697 Sn
```

Formation enthalpy at 0 K in eV per atom: -0.366
Crystal system: monoclinic

(14)
First-principles (PBE) data for a geometry-optimized GeTe2AsH structure, as listed in the Alexandria database.

```
GeTe2AsH
1.0
5.394 0.000 0.000
0.000 5.394 0.000
0.000 0.000 3.504
Ge Te As H
1 2 1 1
Direct
0.000 0.000 0.000 Ge
0.000 0.500 0.500 Te
0.500 0.000 0.500 Te
0.500 0.500 0.000 As
0.000 0.000 0.500 H
```

VASP energy in eV per atom: -3.264
Crystal system: tetragonal

(15)
First-principles (PBE) data for a geometry-optimized MgScHg2 structure, as listed in the Alexandria database.

```
MgScHg2
1.0
7.697 0.000 0.000
0.000 7.697 0.000
0.000 0.000 6.523
Mg Sc Hg
4 4 8
Direct
0.000 0.000 0.000 Mg
0.000 0.500 0.250 Mg
0.500 0.000 0.750 Mg
0.500 0.500 0.500 Mg
0.000 0.000 0.500 Sc
0.000 0.500 0.750 Sc
0.500 0.000 0.250 Sc
0.500 0.500 0.000 Sc
0.242 0.250 0.125 Hg
0.250 0.742 0.375 Hg
0.250 0.758 0.875 Hg
0.258 0.250 0.625 Hg
0.742 0.750 0.625 Hg
0.750 0.242 0.875 Hg
0.750 0.258 0.375 Hg
0.758 0.750 0.125 Hg
```

Formation enthalpy at 0 K in eV per atom: -0.081
Crystal system: tetragonal

(16)
First-principles (PBE) data for a geometry-optimized LaCdNiB2 structure, as listed in the Alexandria database.

```
LaCdNiB2
1.0
4.821 0.000 0.000
0.000 4.821 0.000
0.000 0.000 4.801
La Cd Ni B
1 1 1 2
Direct
0.000 0.000 0.000 La
0.500 0.500 0.500 Cd
0.000 0.000 0.500 Ni
0.000 0.500 0.000 B
0.500 0.000 0.000 B
```

Formation enthalpy at 0 K in eV per atom: 1.853
Crystal system: tetragonal

(17)
First-principles (PBE) data for a geometry-optimized KRe2RhW structure, as listed in the Alexandria database.

```
KRe2RhW
1.0
4.414 0.000 0.000
0.000 4.414 0.000
0.000 0.000 4.441
K Re Rh W
1 2 1 1
Direct
0.000 0.000 0.000 K
0.000 0.500 0.000 Re
0.500 0.000 0.000 Re
0.500 0.500 0.500 Rh
0.000 0.000 0.500 W
```

Formation enthalpy at 0 K in eV per atom: 3.656
Crystal system: tetragonal

(18)
First-principles (PBE) data for a geometry-optimized MgOs2 structure, as listed in the Alexandria database.

```
MgOs2
1.0
6.027 0.000 0.000
0.000 6.027 0.000
0.000 0.000 6.027
Mg Os
4 8
Direct
0.000 0.000 0.000 Mg
0.000 0.500 0.500 Mg
0.500 0.000 0.500 Mg
0.500 0.500 0.000 Mg
0.111 0.611 0.889 Os
0.111 0.889 0.389 Os
0.389 0.111 0.889 Os
0.389 0.389 0.389 Os
0.611 0.611 0.611 Os
0.611 0.889 0.111 Os
0.889 0.111 0.611 Os
0.889 0.389 0.111 Os
```

Formation enthalpy at 0 K in eV per atom: 1.861
Crystal system: cubic

(19)
First-principles (PBE) data for a geometry-optimized La4Tb5In structure, as listed in the Alexandria database.

```
La4Tb5In
1.0
-5.453 5.453 2.952
5.453 -5.453 2.952
5.453 5.453 -2.952
La Tb In
4 5 1
Direct
0.000 0.307 0.307 La
0.000 0.693 0.693 La
0.307 0.000 0.307 La
0.693 0.000 0.693 La
0.207 0.207 0.000 Tb
0.314 0.314 0.633 Tb
0.314 0.681 0.000 Tb
0.681 0.314 0.000 Tb
0.681 0.681 0.367 Tb
0.722 0.722 0.000 In
```

Formation enthalpy at 0 K in eV per atom: 0.052
Crystal system: tetragonal
Energy relative to the lowest polymorph listed for this composition in eV/atom: 0.119

(20)
First-principles (PBE) data for a geometry-optimized LiFeAs structure, as listed in the Alexandria database.

```
LiFeAs
1.0
4.188 0.000 0.000
-2.094 3.627 0.000
0.000 0.000 5.085
Li Fe As
2 2 2
Direct
0.333 0.667 0.250 Li
0.667 0.333 0.750 Li
0.000 0.000 0.000 Fe
0.000 0.000 0.500 Fe
0.333 0.667 0.750 As
0.667 0.333 0.250 As
```

Formation enthalpy at 0 K in eV per atom: -0.159
Crystal system: hexagonal

(21)
First-principles (PBE) data for a geometry-optimized TaCrCd2 structure, as listed in the Alexandria database.

```
TaCrCd2
1.0
3.974 0.000 0.000
0.000 3.974 0.000
0.000 0.000 9.093
Ta Cr Cd
2 2 4
Direct
0.000 0.000 0.000 Ta
0.500 0.500 0.500 Ta
0.000 0.000 0.500 Cr
0.500 0.500 0.000 Cr
0.000 0.500 0.250 Cd
0.000 0.500 0.750 Cd
0.500 0.000 0.250 Cd
0.500 0.000 0.750 Cd
```

Formation enthalpy at 0 K in eV per atom: 0.451
Crystal system: tetragonal
Energy relative to the lowest polymorph listed for this composition in eV/atom: 0.165

(22)
First-principles (PBE) data for a geometry-optimized Ba4ZrTc structure, as listed in the Alexandria database.

```
Ba4ZrTc
1.0
0.000 4.991 4.991
4.991 0.000 4.991
4.991 4.991 0.000
Ba Zr Tc
4 1 1
Direct
0.125 0.125 0.125 Ba
0.125 0.125 0.626 Ba
0.125 0.626 0.125 Ba
0.626 0.125 0.125 Ba
0.500 0.500 0.500 Zr
0.750 0.750 0.750 Tc
```

Formation enthalpy at 0 K in eV per atom: 1.417
Crystal system: cubic

(23)
First-principles (PBE) data for a geometry-optimized PuTlBi2 structure, as listed in the Alexandria database.

```
PuTlBi2
1.0
5.876 0.000 0.000
0.000 5.876 0.000
0.000 0.000 3.500
Pu Tl Bi
1 1 2
Direct
0.000 0.000 0.000 Pu
0.500 0.500 0.000 Tl
0.000 0.500 0.500 Bi
0.500 0.000 0.500 Bi
```

Formation enthalpy at 0 K in eV per atom: -0.144
Crystal system: tetragonal
Energy relative to the lowest polymorph listed for this composition in eV/atom: 0.074

(24)
First-principles (PBE) data for a geometry-optimized MnPbW structure, as listed in the Alexandria database.

```
MnPbW
1.0
3.381 0.000 0.000
0.000 4.918 0.000
0.000 0.000 13.454
Mn Pb W
4 4 4
Direct
0.000 0.000 0.000 Mn
0.000 0.500 0.500 Mn
0.500 0.000 0.500 Mn
0.500 0.500 0.000 Mn
0.000 0.000 0.322 Pb
0.000 0.500 0.822 Pb
0.500 0.000 0.822 Pb
0.500 0.500 0.322 Pb
0.000 0.000 0.638 W
0.000 0.500 0.138 W
0.500 0.000 0.138 W
0.500 0.500 0.638 W
```

Formation enthalpy at 0 K in eV per atom: 0.746
Crystal system: orthorhombic
Energy relative to the lowest polymorph listed for this composition in eV/atom: 0.061